1.
First-principles (PBE) data for crystalline CdGaB at its relaxed geometry, as listed in Alexandria via LeMat-Bulk.

Cell: 3.146 5.717 5.799 Å, 85.08 89.89 89.94°
Space group P-1 (No. 2)
One atom of each set of equivalent atoms:
1 Cd 0.004 0.387 0.268 x2
2 Ga 0.497 0.181 0.839 x2
3 B 0.249 0.000 0.500 x2

Calculated formation energy = 0.28 eV/atom

=====

2.
First-principles (PBE) data for crystalline Pr8Zn2Ru at its relaxed geometry, as listed in Alexandria via LeMat-Bulk.

Cell: 4.996 8.847 14.610 Å, 90.00 90.00 90.00°
Space group Immm (No. 71)
One atom of each set of equivalent atoms:
1 Pr 0.000 0.000 0.120 x4
2 Pr 0.000 0.226 0.343 x8
3 Pr 0.000 0.336 0.000 x4
4 Zn 0.000 0.500 0.198 x4
5 Ru 0.000 0.500 0.500 x2

Distance to the lowest polymorph of the same formula = 103.6 meV per atom
Calculated formation energy = -0.02 eV/atom

=====

Number 1 is which compound?
CdGaB